[1]
# Cd4HgTe5, relaxed, DFT PBE-GGA
# total magnetization: 0.00 μB per atom
# calculated density: 5.90 g cm⁻³
# raw formation energy: -0.40 eV/atom
data_Cd4HgTe5
_chemical_formula_sum 'Cd12 Hg3 Te15'
_symmetry_space_group_name_H-M 'R 3 m'
_symmetry_Int_Tables_number 160
_symmetry_space_group_name_Hall 'R 3 -2"'
_cell_length_a 4.6818
_cell_length_b 4.6818
_cell_length_c 57.3032
_cell_angle_alpha 90.00
_cell_angle_beta 90.00
_cell_angle_gamma 120.00
loop_
_atom_site_label
_atom_site_type_symbol
_atom_site_fract_x
_atom_site_fract_y
_atom_site_fract_z
Cd1 Cd 0.0000 0.0000 0.0000
Cd2 Cd 0.0000 0.0000 0.2002
Cd3 Cd 0.0000 0.0000 0.3999
Cd4 Cd 0.0000 0.0000 0.6001
Hg1 Hg 0.0000 0.0000 0.8001
Te1 Te 0.0000 0.0000 0.0500
Te2 Te 0.0000 0.0000 0.2502
Te3 Te 0.0000 0.0000 0.4499
Te4 Te 0.0000 0.0000 0.6501
Te5 Te 0.0000 0.0000 0.8503



[2]
# Cd3Hg12Te5, relaxed, DFT PBE-GGA
# total magnetization: 0.00 μB per atom
# calculated density: 8.73 g cm⁻³
# raw formation energy: -0.01 eV/atom
data_Cd3Hg12Te5
_chemical_formula_sum 'Cd24 Hg96 Te40'
_symmetry_space_group_name_H-M 'I a -3 d'
_symmetry_Int_Tables_number 230
_symmetry_space_group_name_Hall '-I 4bd 2c 3'
_cell_length_a 17.265
_cell_length_b 17.265
_cell_length_c 17.265
_cell_angle_alpha 90.00
_cell_angle_beta 90.00
_cell_angle_gamma 90.00
loop_
_atom_site_label
_atom_site_type_symbol
_atom_site_fract_x
_atom_site_fract_y
_atom_site_fract_z
Cd1 Cd 0.000 0.250 0.125
Hg1 Hg 0.021 0.089 0.651
Te1 Te 0.000 0.000 0.000
Te2 Te 0.000 0.250 0.375



[3]
# Cd4HgTe, relaxed, DFT PBE-GGA
# total magnetization: 0.00 μB per atom
# calculated density: 8.38 g cm⁻³
# raw formation energy: 0.10 eV/atom
data_Cd4HgTe
_chemical_formula_sum 'Cd16 Hg4 Te4'
_symmetry_space_group_name_H-M 'F -4 3 m'
_symmetry_Int_Tables_number 216
_symmetry_space_group_name_Hall 'F -4 2 3'
_cell_length_a 8.513
_cell_length_b 8.513
_cell_length_c 8.513
_cell_angle_alpha 90.00
_cell_angle_beta 90.00
_cell_angle_gamma 90.00
loop_
_atom_site_label
_atom_site_type_symbol
_atom_site_fract_x
_atom_site_fract_y
_atom_site_fract_z
Cd1 Cd 0.125 0.125 0.125
Hg1 Hg 0.250 0.250 0.750
Te1 Te 0.000 0.000 0.500



[4]
# CdHg2Te2, relaxed, DFT PBE-GGA
# total magnetization: 0.00 μB per atom
# calculated density: 7.75 g cm⁻³
# raw formation energy: -0.02 eV/atom
# E above lowest polymorph: 0 meV/atom
data_CdHg2Te2
_chemical_formula_sum 'Cd2 Hg4 Te4'
_symmetry_space_group_name_H-M 'P 4/m b m'
_symmetry_Int_Tables_number 127
_symmetry_space_group_name_Hall '-P 4 2ab'
_cell_length_a 8.566
_cell_length_b 8.566
_cell_length_c 4.492
_cell_angle_alpha 90.00
_cell_angle_beta 90.00
_cell_angle_gamma 90.00
loop_
_atom_site_label
_atom_site_type_symbol
_atom_site_fract_x
_atom_site_fract_y
_atom_site_fract_z
Cd1 Cd 0.000 0.000 0.000
Hg1 Hg 0.113 0.387 0.500
Te1 Te 0.235 0.735 0.000



[5]
# CdHgTe4, relaxed, DFT PBE-GGA
# total magnetization: 0.00 μB per atom
# calculated density: 7.21 g cm⁻³
# raw formation energy: 0.26 eV/atom
data_CdHgTe4
_chemical_formula_sum 'Cd4 Hg4 Te16'
_symmetry_space_group_name_H-M 'F -4 3 m'
_symmetry_Int_Tables_number 216
_symmetry_space_group_name_Hall 'F -4 2 3'
_cell_length_a 9.119
_cell_length_b 9.119
_cell_length_c 9.119
_cell_angle_alpha 90.00
_cell_angle_beta 90.00
_cell_angle_gamma 90.00
loop_
_atom_site_label
_atom_site_type_symbol
_atom_site_fract_x
_atom_site_fract_y
_atom_site_fract_z
Cd1 Cd 0.000 0.000 0.000
Hg1 Hg 0.250 0.250 0.750
Te1 Te 0.126 0.126 0.374



[6]
# Cd2Hg2Te, relaxed, DFT PBE-GGA
# total magnetization: 0.00 μB per atom
# calculated density: 9.00 g cm⁻³
# raw formation energy: -0.02 eV/atom
# E above lowest polymorph: 0 meV/atom
data_Cd2Hg2Te
_chemical_formula_sum 'Cd4 Hg4 Te2'
_symmetry_space_group_name_H-M 'P 4/m b m'
_symmetry_Int_Tables_number 127
_symmetry_space_group_name_Hall '-P 4 2ab'
_cell_length_a 7.734
_cell_length_b 7.734
_cell_length_c 4.650
_cell_angle_alpha 90.00
_cell_angle_beta 90.00
_cell_angle_gamma 90.00
loop_
_atom_site_label
_atom_site_type_symbol
_atom_site_fract_x
_atom_site_fract_y
_atom_site_fract_z
Cd1 Cd 0.136 0.364 0.000
Hg1 Hg 0.166 0.666 0.500
Te1 Te 0.000 0.000 0.000



[7]
# CdHg2Te2, relaxed, DFT PBE-GGA
# total magnetization: 0.00 μB per atom
# calculated density: 7.55 g cm⁻³
# raw formation energy: 0.11 eV/atom
# E above lowest polymorph: 123 meV/atom
data_CdHg2Te2
_chemical_formula_sum 'Cd2 Hg4 Te4'
_symmetry_space_group_name_H-M 'I 4/m m m'
_symmetry_Int_Tables_number 139
_symmetry_space_group_name_Hall '-I 4 2'
_cell_length_a 4.242
_cell_length_b 4.242
_cell_length_c 18.792
_cell_angle_alpha 90.00
_cell_angle_beta 90.00
_cell_angle_gamma 90.00
loop_
_atom_site_label
_atom_site_type_symbol
_atom_site_fract_x
_atom_site_fract_y
_atom_site_fract_z
Cd1 Cd 0.000 0.000 0.000
Hg1 Hg 0.000 0.000 0.414
Te1 Te 0.000 0.500 0.250



[8]
# Cd2Hg2Te, relaxed, DFT PBE-GGA
# total magnetization: 0.00 μB per atom
# calculated density: 9.30 g cm⁻³
# raw formation energy: 0.01 eV/atom
# E above lowest polymorph: 31 meV/atom
data_Cd2Hg2Te
_chemical_formula_sum 'Cd4 Hg4 Te2'
_symmetry_space_group_name_H-M 'I 4/m m m'
_symmetry_Int_Tables_number 139
_symmetry_space_group_name_Hall '-I 4 2'
_cell_length_a 4.284
_cell_length_b 4.284
_cell_length_c 14.660
_cell_angle_alpha 90.00
_cell_angle_beta 90.00
_cell_angle_gamma 90.00
loop_
_atom_site_label
_atom_site_type_symbol
_atom_site_fract_x
_atom_site_fract_y
_atom_site_fract_z
Cd1 Cd 0.000 0.000 0.098
Hg1 Hg 0.000 0.500 0.250
Te1 Te 0.000 0.000 0.500



[9]
# Cd2Hg2Te, relaxed, DFT PBE-GGA
# total magnetization: 0.00 μB per atom
# calculated density: 9.40 g cm⁻³
# raw formation energy: 0.09 eV/atom
# E above lowest polymorph: 111 meV/atom
data_Cd2Hg2Te
_chemical_formula_sum 'Cd4 Hg4 Te2'
_symmetry_space_group_name_H-M 'I 4/m m m'
_symmetry_Int_Tables_number 139
_symmetry_space_group_name_Hall '-I 4 2'
_cell_length_a 4.347
_cell_length_b 4.347
_cell_length_c 14.093
_cell_angle_alpha 90.00
_cell_angle_beta 90.00
_cell_angle_gamma 90.00
loop_
_atom_site_label
_atom_site_type_symbol
_atom_site_fract_x
_atom_site_fract_y
_atom_site_fract_z
Cd1 Cd 0.000 0.500 0.250
Hg1 Hg 0.000 0.000 0.102
Te1 Te 0.000 0.000 0.500



[10]
# CdHg2Te2, relaxed, DFT PBE-GGA
# total magnetization: 0.00 μB per atom
# calculated density: 8.86 g cm⁻³
# raw formation energy: 0.14 eV/atom
# E above lowest polymorph: 160 meV/atom
data_CdHg2Te2
_chemical_formula_sum 'Cd2 Hg4 Te4'
_symmetry_space_group_name_H-M 'P 4/m b m'
_symmetry_Int_Tables_number 127
_symmetry_space_group_name_Hall '-P 4 2ab'
_cell_length_a 8.299
_cell_length_b 8.299
_cell_length_c 4.182
_cell_angle_alpha 90.00
_cell_angle_beta 90.00
_cell_angle_gamma 90.00
loop_
_atom_site_label
_atom_site_type_symbol
_atom_site_fract_x
_atom_site_fract_y
_atom_site_fract_z
Cd1 Cd 0.000 0.000 0.000
Hg1 Hg 0.119 0.381 0.000
Te1 Te 0.210 0.710 0.500



[11]
# TlCdHgTe, relaxed, DFT PBE-GGA
# total magnetization: 0.00 μB per atom
# calculated density: 9.06 g cm⁻³
# raw formation energy: -0.07 eV/atom
data_TlCdHgTe
_chemical_formula_sum 'Tl4 Cd4 Hg4 Te4'
_symmetry_space_group_name_H-M 'F -4 3 m'
_symmetry_Int_Tables_number 216
_symmetry_space_group_name_Hall 'F -4 2 3'
_cell_length_a 7.791
_cell_length_b 7.791
_cell_length_c 7.791
_cell_angle_alpha 90.00
_cell_angle_beta 90.00
_cell_angle_gamma 90.00
loop_
_atom_site_label
_atom_site_type_symbol
_atom_site_fract_x
_atom_site_fract_y
_atom_site_fract_z
Tl1 Tl 0.000 0.000 0.000
Cd1 Cd 0.000 0.000 0.500
Hg1 Hg 0.250 0.250 0.250
Te1 Te 0.250 0.250 0.750



[12]
# Zr2CdHgTe, relaxed, DFT PBE-GGA
# total magnetization: 0.24 μB per atom
# calculated density: 7.04 g cm⁻³
# raw formation energy: 0.75 eV/atom
data_Zr2CdHgTe
_chemical_formula_sum 'Zr2 Cd1 Hg1 Te1'
_symmetry_space_group_name_H-M 'P 4/m m m'
_symmetry_Int_Tables_number 123
_symmetry_space_group_name_Hall '-P 4 2'
_cell_length_a 5.393
_cell_length_b 5.393
_cell_length_c 5.055
_cell_angle_alpha 90.00
_cell_angle_beta 90.00
_cell_angle_gamma 90.00
loop_
_atom_site_label
_atom_site_type_symbol
_atom_site_fract_x
_atom_site_fract_y
_atom_site_fract_z
Zr1 Zr 0.000 0.500 0.000
Cd1 Cd 0.000 0.000 0.000
Hg1 Hg 0.000 0.000 0.500
Te1 Te 0.500 0.500 0.500



[13]
# Th2Cd3Hg, relaxed, DFT PBE-GGA
# total magnetization: 0.00 μB per atom
# calculated density: 10.82 g cm⁻³
# E above lowest polymorph: 10 meV/atom
# E_form: -0.20 eV per atom
data_Th2Cd3Hg
_chemical_formula_sum 'Th16 Cd24 Hg8'
_symmetry_space_group_name_H-M 'F m m m'
_symmetry_Int_Tables_number 69
_symmetry_space_group_name_Hall '-F 2 2'
_cell_length_a 6.849
_cell_length_b 10.181
_cell_length_c 17.642
_cell_angle_alpha 90.00
_cell_angle_beta 90.00
_cell_angle_gamma 90.00
loop_
_atom_site_label
_atom_site_type_symbol
_atom_site_fract_x
_atom_site_fract_y
_atom_site_fract_z
Th1 Th 0.248 0.000 0.000
Th2 Th 0.250 0.250 0.250
Cd1 Cd 0.000 0.000 0.334
Cd2 Cd 0.000 0.249 0.417
Hg1 Hg 0.000 0.000 0.167



[14]
# Th3CdHg2, relaxed, DFT PBE-GGA
# total magnetization: 0.00 μB per atom
# calculated density: 12.21 g cm⁻³
# E_form: -0.18 eV per atom
data_Th3CdHg2
_chemical_formula_sum 'Th3 Cd1 Hg2'
_symmetry_space_group_name_H-M 'P 4/m m m'
_symmetry_Int_Tables_number 123
_symmetry_space_group_name_Hall '-P 4 2'
_cell_length_a 3.430
_cell_length_b 3.430
_cell_length_c 13.986
_cell_angle_alpha 90.00
_cell_angle_beta 90.00
_cell_angle_gamma 90.00
loop_
_atom_site_label
_atom_site_type_symbol
_atom_site_fract_x
_atom_site_fract_y
_atom_site_fract_z
Th1 Th 0.000 0.000 0.000
Th2 Th 0.000 0.000 0.330
Cd1 Cd 0.500 0.500 0.500
Hg1 Hg 0.500 0.500 0.165



[15]
# ThCd2Hg3, relaxed, DFT PBE-GGA
# total magnetization: 0.00 μB per atom
# calculated density: 11.35 g cm⁻³
# E above lowest polymorph: 54 meV/atom
# E_form: -0.06 eV per atom
data_ThCd2Hg3
_chemical_formula_sum 'Th4 Cd8 Hg12'
_symmetry_space_group_name_H-M 'C m c m'
_symmetry_Int_Tables_number 63
_symmetry_space_group_name_Hall '-C 2c 2'
_cell_length_a 6.543
_cell_length_b 16.660
_cell_length_c 5.683
_cell_angle_alpha 90.00
_cell_angle_beta 90.00
_cell_angle_gamma 90.00
loop_
_atom_site_label
_atom_site_type_symbol
_atom_site_fract_x
_atom_site_fract_y
_atom_site_fract_z
Th1 Th 0.000 0.169 0.250
Cd1 Cd 0.233 0.000 0.000
Hg1 Hg 0.000 0.365 0.750
Hg2 Hg 0.250 0.166 0.750



[16]
# Th4Cd5Hg2, relaxed, DFT PBE-GGA
# total magnetization: 0.00 μB per atom
# calculated density: 10.69 g cm⁻³
# E_form: -0.14 eV per atom
data_Th4Cd5Hg2
_chemical_formula_sum 'Th4 Cd5 Hg2'
_symmetry_space_group_name_H-M 'P 1 2/m 1'
_symmetry_Int_Tables_number 10
_cell_length_a 8.153
_cell_length_b 3.367
_cell_length_c 10.728
_cell_angle_alpha 90.00
_cell_angle_beta 93.94
_cell_angle_gamma 90.00
loop_
_symmetry_equiv_pos_as_xyz
'x,y,z'
'-x,-y,-z'
'-x,y,-z'
'x,-y,z'
loop_
_atom_site_label
_atom_site_type_symbol
_atom_site_fract_x
_atom_site_fract_y
_atom_site_fract_z
Th1 Th 0.154 0.000 0.389
Th2 Th 0.279 0.000 0.948
Cd1 Cd 0.211 0.500 0.666
Cd2 Cd 0.437 0.500 0.211
Cd3 Cd 0.500 0.500 0.500
Hg1 Hg 0.056 0.500 0.139



[17]
# Th2Cd6Hg3, relaxed, DFT PBE-GGA
# total magnetization: 0.00 μB per atom
# calculated density: 10.43 g cm⁻³
# E_form: -0.06 eV per atom
data_Th2Cd6Hg3
_chemical_formula_sum 'Th2 Cd6 Hg3'
_symmetry_space_group_name_H-M 'P -6 2 m'
_symmetry_Int_Tables_number 189
_symmetry_space_group_name_Hall 'P -6 -2'
_cell_length_a 8.4846
_cell_length_b 8.4846
_cell_length_c 4.4428
_cell_angle_alpha 90.00
_cell_angle_beta 90.00
_cell_angle_gamma 120.00
loop_
_atom_site_label
_atom_site_type_symbol
_atom_site_fract_x
_atom_site_fract_y
_atom_site_fract_z
Th1 Th 0.3333 0.6667 0.0000
Cd1 Cd 0.0000 0.2713 0.5000
Cd2 Cd 0.0000 0.8016 0.0000
Hg1 Hg 0.0000 0.5951 0.5000



[18]
# Th5CdHg6, relaxed, DFT PBE-GGA
# total magnetization: 0.00 μB per atom
# calculated density: 12.63 g cm⁻³
# E_form: -0.18 eV per atom
data_Th5CdHg6
_chemical_formula_sum 'Th10 Cd2 Hg12'
_symmetry_space_group_name_H-M 'I m m m'
_symmetry_Int_Tables_number 71
_symmetry_space_group_name_Hall '-I 2 2'
_cell_length_a 5.293
_cell_length_b 7.737
_cell_length_c 15.892
_cell_angle_alpha 90.00
_cell_angle_beta 90.00
_cell_angle_gamma 90.00
loop_
_atom_site_label
_atom_site_type_symbol
_atom_site_fract_x
_atom_site_fract_y
_atom_site_fract_z
Th1 Th 0.000 0.000 0.000
Th2 Th 0.000 0.000 0.326
Th3 Th 0.000 0.500 0.339
Cd1 Cd 0.000 0.500 0.000
Hg1 Hg 0.000 0.227 0.500
Hg2 Hg 0.000 0.265 0.160



[19]
# Th2CdHg, relaxed, DFT PBE-GGA
# total magnetization: 0.00 μB per atom
# calculated density: 11.37 g cm⁻³
# E above lowest polymorph: 51 meV/atom
# E_form: -0.11 eV per atom
data_Th2CdHg
_chemical_formula_sum 'Th8 Cd4 Hg4'
_symmetry_space_group_name_H-M 'F m -3 m'
_symmetry_Int_Tables_number 225
_symmetry_space_group_name_Hall '-F 4 2 3'
_cell_length_a 7.685
_cell_length_b 7.685
_cell_length_c 7.685
_cell_angle_alpha 90.00
_cell_angle_beta 90.00
_cell_angle_gamma 90.00
loop_
_atom_site_label
_atom_site_type_symbol
_atom_site_fract_x
_atom_site_fract_y
_atom_site_fract_z
Th1 Th 0.250 0.250 0.250
Cd1 Cd 0.000 0.000 0.000
Hg1 Hg 0.000 0.000 0.500



[20]
# Th4Cd3Hg5, relaxed, DFT PBE-GGA
# total magnetization: 0.00 μB per atom
# calculated density: 11.72 g cm⁻³
# E_form: -0.07 eV per atom
data_Th4Cd3Hg5
_chemical_formula_sum 'Th8 Cd6 Hg10'
_symmetry_space_group_name_H-M 'C 1 2/m 1'
_symmetry_Int_Tables_number 12
_cell_length_a 17.083
_cell_length_b 5.104
_cell_length_c 7.863
_cell_angle_alpha 90.00
_cell_angle_beta 110.29
_cell_angle_gamma 90.00
loop_
_symmetry_equiv_pos_as_xyz
'x,y,z'
'-x,-y,-z'
'-x,y,-z'
'x,-y,z'
'x+1/2,y+1/2,z'
'-x+1/2,-y+1/2,-z'
'-x+1/2,y+1/2,-z'
'x+1/2,-y+1/2,z'
loop_
_atom_site_label
_atom_site_type_symbol
_atom_site_fract_x
_atom_site_fract_y
_atom_site_fract_z
Th1 Th 0.092 0.000 0.419
Th2 Th 0.164 0.000 0.912
Cd1 Cd 0.000 0.500 0.000
Cd2 Cd 0.220 0.500 0.652
Hg1 Hg 0.000 0.000 0.000
Hg2 Hg 0.057 0.500 0.686
Hg3 Hg 0.184 0.500 0.250